Yb3Cu (PBE, optimized geometry); calculated volume = 112 Å³/cell; E_form = -0.008 eV/atom
1.0
4.814 0.000 0.000
0.000 4.814 0.000
0.000 0.000 4.814
Yb Cu
3 1
Direct
0.000 0.000 0.500 Yb
0.000 0.500 0.000 Yb
0.500 0.000 0.000 Yb
0.500 0.500 0.500 Cu


BaLaRe (PBE, optimized geometry); relative energy among the computed polymorphs = 0 meV per atom; calculated volume = 97 Å³/cell; E_form = 0.631 eV/atom
1.0
0.000 2.575 7.377
2.548 0.000 7.377
2.548 2.575 0.000
Ba La Re
1 1 1
Direct
0.000 0.000 0.000 Ba
0.752 0.752 0.248 La
0.357 0.357 0.643 Re


PmPaTcPd (PBE, optimized geometry); calculated volume = 86 Å³/cell; E_form = -0.238 eV/atom
1.0
0.000 3.502 3.502
3.502 0.000 3.502
3.502 3.502 0.000
Pm Pa Tc Pd
1 1 1 1
Direct
0.000 0.000 0.000 Pm
0.500 0.500 0.500 Pa
0.250 0.250 0.250 Tc
0.750 0.750 0.750 Pd


CrFe6Ge (PBE, optimized geometry); calculated volume = 95 Å³/cell; E_form = 0.004 eV/atom
1.0
4.570 0.000 0.000
0.000 4.570 0.000
0.000 0.000 4.570
Cr Fe Ge
1 6 1
Direct
0.000 0.000 0.000 Cr
0.000 0.249 0.500 Fe
0.000 0.751 0.500 Fe
0.249 0.500 0.000 Fe
0.500 0.000 0.249 Fe
0.500 0.000 0.751 Fe
0.751 0.500 0.000 Fe
0.500 0.500 0.500 Ge


CaMgFe2 (PBE, optimized geometry); calculated volume = 77 Å³/cell; E_form = 0.220 eV/atom
1.0
3.188 0.000 0.000
0.000 3.223 0.000
0.000 0.000 7.502
Ca Mg Fe
1 1 2
Direct
0.000 0.000 0.000 Ca
0.500 0.500 0.360 Mg
0.000 0.000 0.596 Fe
0.500 0.500 0.720 Fe


Ca2Cu (PBE, optimized geometry); calculated volume = 98 Å³/cell; E_form = 0.025 eV/atom
1.0
4.137 0.000 0.000
-2.069 3.583 0.000
0.000 0.000 6.587
Ca Cu
2 1
Direct
0.333 0.667 0.249 Ca
0.667 0.333 0.751 Ca
0.000 0.000 0.500 Cu


KNiBr4 (PBE, optimized geometry); formation energy from raw total energies = -0.70 eV/atom; relative energy among the computed polymorphs = 19 meV per atom; calculated volume = 879 Å³/cell
1.0
8.806 0.000 0.000
0.000 10.336 0.000
-6.813 0.000 9.662
K Ni Br
4 4 16
Direct
0.173 0.172 0.271 K
0.173 0.328 0.771 K
0.827 0.672 0.229 K
0.827 0.828 0.729 K
0.312 0.675 0.205 Ni
0.312 0.825 0.705 Ni
0.688 0.175 0.295 Ni
0.688 0.325 0.795 Ni
0.103 0.652 0.621 Br
0.103 0.848 0.121 Br
0.208 0.517 0.284 Br
0.208 0.983 0.784 Br
0.331 0.607 0.027 Br
0.331 0.893 0.527 Br
0.391 0.238 0.117 Br
0.391 0.262 0.617 Br
0.609 0.738 0.383 Br
0.609 0.762 0.883 Br
0.669 0.107 0.473 Br
0.669 0.393 0.973 Br
0.792 0.017 0.216 Br
0.792 0.483 0.716 Br
0.897 0.152 0.879 Br
0.897 0.348 0.379 Br


CoSb2 (PBE, optimized geometry); formation energy from raw total energies = 0.07 eV/atom; calculated volume = 132 Å³/cell
1.0
6.413 -1.678 0.000
6.413 1.678 0.000
-2.186 0.000 6.116
Co Sb
2 4
Direct
0.000 0.000 0.000 Co
0.567 0.567 0.400 Co
0.204 0.204 0.613 Sb
0.375 0.375 0.106 Sb
0.453 0.453 0.668 Sb
0.661 0.661 0.121 Sb


Calculated density of states at the Fermi level, 37.69 4.50 3.95 6.50 3.44 2.82 0.09 4.04 states/eV/cell (same order as the records).